1.
Computed, not measured: PrThSbP after structural relaxation at the PBE level of DFT.

Its uncorrected formation energy is -1222 meV/atom. Its space group is R3m (160). The calculation puts the uncorrected energy at -6.655 eV/atom.

```
4
Lattice="4.280 0.000 0.000 -2.139 3.707 0.000 -2.139 -1.235 7.423" Properties=species:S:1:pos:R:3 pbc="T T T"
P -1.736 3.436 0.799
Pr 2.544 0.964 2.498
Sb 0.406 -0.270 4.634
Th -1.734 0.965 6.690
```

=====

2.
Computed, not measured: ErGa4CoPt2 after structural relaxation at the PBE level of DFT.

Its space group is R-3m (166). As for the formation energy from the elements: -597.3 meV/atom. The calculation puts the uncorrected energy at -5.080 eV/atom.

```
8
Lattice="-1.720 -3.650 1.305 0.516 -1.272 4.013 -7.442 2.467 3.981" Properties=species:S:1:pos:R:3 pbc="T T T"
Ga -4.054 -3.260 6.212
Er 0.000 0.000 0.000
Pt -6.267 -1.969 6.906
Ga -6.471 0.025 5.323
Ga -2.175 -2.481 3.976
Co -4.323 -1.228 4.649
Ga -4.593 0.804 3.087
Pt -2.379 -0.487 2.393
```

=====

3.
Computed, not measured: LuHgBi after structural relaxation at the PBE level of DFT.

Its space group is F-43m (216). As for the formation energy from the elements: -371.8 meV/atom. The calculation puts the uncorrected energy at -3.273 eV/atom. As for the relative energy among the computed polymorphs: 0.0000 eV per atom.

```
3
Lattice="-1.510 2.941 -3.905 -4.301 -1.123 -2.535 -4.119 2.995 0.497" Properties=species:S:1:pos:R:3 pbc="T T T"
Hg -4.965 2.407 -2.972
Lu -2.482 1.203 -1.486
Bi 0.000 0.000 0.000
```

=====

4.
Computed, not measured: Rb2TmSO6 after structural relaxation at the PBE level of DFT.

Its uncorrected formation energy is -1640 meV/atom. Its space group is P-3m1 (164). The calculation puts the uncorrected energy at -5.668 eV/atom.

```
10
Lattice="-3.790 3.676 -1.528 1.640 -0.846 -6.104 -4.559 -3.617 2.607" Properties=species:S:1:pos:R:3 pbc="T T T"
O -2.672 -2.791 -3.662
O 0.182 -0.527 -5.294
S 0.000 0.000 0.000
Rb -2.966 -2.234 -0.487
Tm -1.895 1.838 -0.764
O -6.891 -0.260 0.270
O -5.864 -0.790 -3.551
O -4.037 2.004 -1.363
O -0.845 0.003 -1.473
Rb -3.742 1.446 -4.537
```

=====

5.
Computed, not measured: PuGa2Cu2 after structural relaxation at the PBE level of DFT.

Its space group is P4/nmm (129). As for the formation energy from the elements: -230.8 meV/atom. The calculation puts the uncorrected energy at -5.946 eV/atom.

```
10
Lattice="4.166 0.000 0.000 0.000 4.166 0.000 0.000 0.000 10.142" Properties=species:S:1:pos:R:3 pbc="T T T"
Ga 0.000 2.083 1.324
Ga 0.000 0.000 5.071
Cu 2.083 0.000 6.423
Ga 2.083 0.000 8.817
Cu 2.083 2.083 0.000
Pu 2.083 0.000 2.498
Ga 2.083 2.083 5.071
Cu 0.000 2.083 3.718
Cu 0.000 0.000 0.000
Pu 0.000 2.083 7.643
```

=====

6.
Computed, not measured: BaRe2Mo after structural relaxation at the PBE level of DFT.

Its space group is Pmmm (47). As for the formation energy from the elements: 1517.0 meV/atom. The calculation puts the uncorrected energy at -7.895 eV/atom. As for the relative energy among the computed polymorphs: 0.7503 eV per atom.

```
4
Lattice="3.182 0.000 0.000 0.000 4.607 0.000 0.000 0.000 5.146" Properties=species:S:1:pos:R:3 pbc="T T T"
Re 0.000 0.000 0.000
Ba 1.591 0.000 2.573
Mo 0.000 2.304 2.573
Re 1.591 2.304 0.000
```